CrPt2Br: relaxed, PBE.

abc: 2.8259 2.8259 9.4252
angles: 90.00 90.00 90.00
Space group P4/mmm (No. 123)
Asymmetric unit:
1 Cr 0.0000 0.0000 0.0000
2 Pt 0.5000 0.5000 0.1819
3 Br 0.0000 0.0000 0.5000

Summary:
Raw formation energy (eV/atom): 0.21
ΔE to the lowest computed polymorph (meV per atom): 74.1
E_tot (eV per atom): -5.637